[1]
BiSb2H: PBEsol geometry, SCAN.

Values from the calculation:
D(E_F) = 1.5 states/eV/f.u.
E_tot = -38.6652 eV/atom
Total magnetization = 0.00 μB per formula unit

a b c (Å): 6.1165 6.8127 6.1165
angles (deg): 63.33 90.00 116.67
Last column: nearest neighbours and their distance in Å.
Fractional coordinates of all 8 atoms:
1 Sb 0.4981 0.7500 0.3750  2 H 2.15
2 Sb 0.2519 0.7500 0.8750  2 H 2.15
3 Sb 0.3750 0.2500 0.2519  2 H 2.15
4 Sb 0.8750 0.2500 0.4981  2 H 2.15
5 H 0.2500 0.5000 0.2500  4 Sb 2.15
6 H 0.5000 0.0000 0.5000  4 Sb 2.15
7 Bi 0.0000 0.0000 0.0000  4 Sb 3.06
8 Bi 0.7500 0.5000 0.7500  4 Sb 3.06

[2]
CdBiS2Br: PBEsol geometry, SCAN.

Values from the calculation:
D(E_F) = 0.0 states/eV/f.u.
Formation energy without anion corrections = -0.61 eV per atom
Total magnetization = 0.00 μB per formula unit

a b c (Å): 3.9977 6.7516 9.4016
angles (deg): 91.44 90.00 107.22
Last column: nearest neighbours and their distance in Å.
Fractional coordinates of all 10 atoms:
1 S 0.0819 0.1638 0.2544  2 Cd 2.56-2.59, 2 Bi 2.73
2 S 0.9181 0.8362 0.7456  2 Cd 2.56-2.59, 2 Bi 2.73
3 S 0.3554 0.7109 0.4446  3 Bi 2.63-2.94, 2 Cd 2.77
4 S 0.6446 0.2891 0.5554  3 Bi 2.63-2.94, 2 Cd 2.77
5 Bi 0.7227 0.4455 0.3001  5 S 2.63-2.94
6 Bi 0.2773 0.5545 0.6999  5 S 2.63-2.94
7 Cd 0.0000 0.0000 0.5000  6 S 2.56-2.77
8 Cd 0.0000 0.0000 0.0000  2 S 2.59, 4 Br 2.80
9 Br 0.3584 0.7168 0.0706  2 Cd 2.80
10 Br 0.6416 0.2832 0.9294  2 Cd 2.80

[3]
AlCoF3: PBEsol geometry, SCAN.

Values from the calculation:
D(E_F) = 5.4 states/eV/f.u.
Formation energy without anion corrections = -1.62 eV per atom
Total magnetization = 3.00 μB per formula unit

a b c (Å): 4.0268 4.0268 4.0268
angles (deg): 90.00 90.00 90.00
Last column: nearest neighbours and their distance in Å.
Fractional coordinates of all 5 atoms:
1 F 0.0000 0.0000 0.5000  2 Co 2.01
2 F 0.0000 0.5000 0.0000  2 Co 2.01
3 F 0.5000 0.0000 0.0000  2 Co 2.01
4 Co 0.0000 0.0000 0.0000  6 F 2.01
5 Al 0.5000 0.5000 0.5000  12 F 2.85